1.
## Ti4NbN2 (PBE)

Data for a relaxed structure of Ti4NbN2.

The structure in POSCAR format:
```
Ti4NbN2
1.0
1.492 0.861 12.152
-1.492 0.861 12.152
0.000 -1.723 12.152
Ti Nb N
4 1 2
direct
0.098 0.098 0.098
0.367 0.367 0.367
0.633 0.633 0.633
0.902 0.902 0.902
0.500 0.500 0.500
0.267 0.267 0.267
0.733 0.733 0.733
```

E_form (uncorrected) = -1.05 eV/atom

***

2.
## BeCuPI2 (PBE)

Data for a relaxed structure of BeCuPI2.

The structure in POSCAR format:
```
BeCuPI2
1.0
5.169 0.000 0.000
0.000 5.169 0.000
0.000 0.000 4.221
Be Cu P I
1 1 1 2
direct
0.000 0.000 0.000
0.000 0.000 0.500
0.500 0.500 0.500
0.000 0.500 0.000
0.500 0.000 0.000
```

E_form (uncorrected) = 0.93 eV/atom

***

3.
## FeNi2H2 (PBE)

Data for a relaxed structure of FeNi2H2.

The structure in POSCAR format:
```
FeNi2H2
1.0
2.594 0.000 0.000
-1.297 2.246 0.000
0.000 0.000 6.372
Fe Ni H
1 2 2
direct
0.000 0.000 0.000
0.333 0.667 0.660
0.667 0.333 0.340
0.333 0.667 0.180
0.667 0.333 0.820
```

Energy above the lowest structure with this stoichiometry = 0.00 eV per formula unit

***

4.
## La5ErAu6 (PBE)

Data for a relaxed structure of La5ErAu6.

The structure in POSCAR format:
```
La5ErAu6
1.0
8.385 -3.746 0.000
8.385 3.746 0.000
-1.651 0.000 5.013
La Er Au
5 1 6
direct
0.000 0.000 0.000
0.164 0.164 0.664
0.329 0.329 0.329
0.671 0.671 0.671
0.836 0.836 0.336
0.500 0.500 0.000
0.107 0.578 0.842
0.277 0.723 0.500
0.422 0.893 0.158
0.578 0.107 0.842
0.723 0.277 0.500
0.893 0.422 0.158
```

DFT formation energy = -0.79 eV per atom

***

5.
## AcAl4Tl (PBE)

Data for a relaxed structure of AcAl4Tl.

The structure in POSCAR format:
```
AcAl4Tl
1.0
0.000 4.130 4.130
4.130 0.000 4.130
4.130 4.130 0.000
Ac Al Tl
1 4 1
direct
0.000 0.000 0.000
0.126 0.625 0.625
0.625 0.126 0.625
0.625 0.625 0.126
0.625 0.625 0.625
0.250 0.250 0.250
```

DFT formation energy = -0.08 eV per atom

***

6.
## BeSbPt2 (PBE)

Data for a relaxed structure of BeSbPt2.

The structure in POSCAR format:
```
BeSbPt2
1.0
2.934 0.000 0.000
0.000 2.934 0.000
0.000 0.000 7.338
Be Sb Pt
1 1 2
direct
0.000 0.000 0.000
0.000 0.000 0.500
0.500 0.500 0.188
0.500 0.500 0.812
```

E_form (uncorrected) = -0.31 eV/atom
Energy above the lowest structure with this stoichiometry = 0.38 eV per formula unit

***

7.
## ZnMoN3 (PBE)

Data for a relaxed structure of ZnMoN3.

The structure in POSCAR format:
```
ZnMoN3
1.0
3.715 0.000 0.000
0.000 3.715 0.000
0.000 0.000 3.715
Zn Mo N
1 1 3
direct
0.000 0.000 0.000
0.500 0.500 0.500
0.000 0.000 0.500
0.000 0.500 0.000
0.500 0.000 0.000
```

E_form (uncorrected) = 1.88 eV/atom

***

8.
## Zr4AgP (PBE)

Data for a relaxed structure of Zr4AgP.

The structure in POSCAR format:
```
Zr4AgP
1.0
0.000 4.008 4.008
4.008 0.000 4.008
4.008 4.008 0.000
Zr Ag P
4 1 1
direct
0.125 0.125 0.125
0.125 0.125 0.626
0.125 0.626 0.125
0.626 0.125 0.125
0.750 0.750 0.750
0.500 0.500 0.500
```

DFT formation energy = 0.45 eV per atom

***

9.
## BaBeRe2 (PBE)

Data for a relaxed structure of BaBeRe2.

The structure in POSCAR format:
```
BaBeRe2
1.0
3.682 -2.125 0.000
3.682 2.125 0.000
-2.463 0.000 5.931
Ba Be Re
1 1 2
direct
0.000 0.000 0.000
0.180 0.180 0.539
0.500 0.500 0.501
0.808 0.808 0.426
```

DFT formation energy = 0.30 eV per atom

***

10.
## MgSiOs (PBE)

Data for a relaxed structure of MgSiOs.

The structure in POSCAR format:
```
MgSiOs
1.0
4.928 0.000 0.000
0.000 3.124 0.000
-1.001 0.000 6.277
Mg Si Os
2 2 2
direct
0.000 0.000 0.000
0.485 0.500 0.934
0.346 0.500 0.362
0.693 0.000 0.571
0.196 0.000 0.613
0.838 0.500 0.317
```

E_form (uncorrected) = -0.20 eV/atom

***

11.
## TbEr4Au5 (PBE)

Data for a relaxed structure of TbEr4Au5.

The structure in POSCAR format:
```
TbEr4Au5
1.0
3.549 0.000 0.000
0.000 3.549 0.000
0.000 0.000 18.161
Tb Er Au
1 4 5
direct
0.000 0.000 0.000
0.000 0.000 0.202
0.000 0.000 0.400
0.000 0.000 0.600
0.000 0.000 0.798
0.500 0.500 0.104
0.500 0.500 0.301
0.500 0.500 0.500
0.500 0.500 0.699
0.500 0.500 0.896
```

DFT formation energy = -0.88 eV per atom

***

12.
## PuGaRh2 (PBE)

Data for a relaxed structure of PuGaRh2.

The structure in POSCAR format:
```
PuGaRh2
1.0
6.814 0.000 0.000
0.000 4.044 0.000
0.000 0.000 10.293
Pu Ga Rh
4 4 8
direct
0.225 0.250 0.184
0.275 0.750 0.684
0.725 0.250 0.316
0.775 0.750 0.816
0.061 0.750 0.408
0.439 0.250 0.908
0.561 0.750 0.092
0.939 0.250 0.592
0.059 0.250 0.827
0.223 0.750 0.973
0.277 0.250 0.473
0.441 0.750 0.327
0.559 0.250 0.673
0.723 0.750 0.527
0.777 0.250 0.027
0.941 0.750 0.173
```

DFT formation energy = -0.53 eV per atom

***

Number 1: DOS at the Fermi energy 0.939 states/eV/atom. Number 2: DOS at the Fermi energy 0.619 states/eV/atom. Number 3: DOS at the Fermi energy 0.773 states/eV/atom. Number 4: DOS at the Fermi energy 0.866 states/eV/atom. Number 5: DOS at the Fermi energy 0.746 states/eV/atom. Number 6: DOS at the Fermi energy 0.461 states/eV/atom. Number 7: DOS at the Fermi energy 1.014 states/eV/atom. Number 8: DOS at the Fermi energy 0.992 states/eV/atom. Number 9: DOS at the Fermi energy 0.400 states/eV/atom. Number 10: DOS at the Fermi energy 0.026 states/eV/atom. Number 11: DOS at the Fermi energy 0.410 states/eV/atom. Number 12: DOS at the Fermi energy 2.429 states/eV/atom.